# 1
# Ti2HPdS PBE relaxed
data_Ti2HPdS
_symmetry_space_group_name_H-M 'P 4/m m m'
_symmetry_Int_Tables_number 123
_symmetry_space_group_name_Hall '-P 4 2'
_cell_length_a 4.516
_cell_length_b 4.516
_cell_length_c 4.414
_cell_angle_alpha 90.00
_cell_angle_beta 90.00
_cell_angle_gamma 90.00
loop_
_atom_site_label
_atom_site_fract_x
_atom_site_fract_y
_atom_site_fract_z
Ti1 0.000 0.500 0.000
H1 0.000 0.000 0.500
Pd1 0.500 0.500 0.500
S1 0.500 0.500 0.000
# magnetic moment: 0.01 μB per atom
# N(E_F): 1.7927 states/eV/atom
# density: 4.3 Mg/m³
# raw total energy: -26.8 eV for the cell shown

# 2
# MgMn2Pb PBE relaxed
data_MgMn2Pb
_symmetry_space_group_name_H-M 'C m m m'
_symmetry_Int_Tables_number 65
_symmetry_space_group_name_Hall '-C 2 2'
_cell_length_a 5.991
_cell_length_b 8.077
_cell_length_c 3.171
_cell_angle_alpha 90.00
_cell_angle_beta 90.00
_cell_angle_gamma 90.00
loop_
_atom_site_label
_atom_site_fract_x
_atom_site_fract_y
_atom_site_fract_z
Mg1 0.000 0.000 0.000
Mn1 0.250 0.250 0.500
Pb1 0.000 0.500 0.000
# calculated formation energy: 0.387 eV/atom
# magnetic moment: 1.81 μB per atom
# N(E_F): 0.8743 states/eV/atom
# density: 7.4 Mg/m³

# 3
# NaHoAl4 PBE relaxed
data_NaHoAl4
_symmetry_space_group_name_H-M 'F -4 3 m'
_symmetry_Int_Tables_number 216
_symmetry_space_group_name_Hall 'F -4 2 3'
_cell_length_a 7.870
_cell_length_b 7.870
_cell_length_c 7.870
_cell_angle_alpha 90.00
_cell_angle_beta 90.00
_cell_angle_gamma 90.00
loop_
_atom_site_label
_atom_site_fract_x
_atom_site_fract_y
_atom_site_fract_z
Na1 0.000 0.000 0.000
Ho1 0.250 0.250 0.750
Al1 0.124 0.124 0.376
# calculated formation energy: -0.209 eV/atom
# magnetic moment: 0.00 μB per atom
# N(E_F): 0.6567 states/eV/atom
# density: 4.0 Mg/m³

# 4
# RbAg5Br7 PBE relaxed
data_RbAg5Br7
_symmetry_space_group_name_H-M 'C m c m'
_symmetry_Int_Tables_number 63
_symmetry_space_group_name_Hall '-C 2c 2'
_cell_length_a 4.311
_cell_length_b 13.932
_cell_length_c 24.295
_cell_angle_alpha 90.00
_cell_angle_beta 90.00
_cell_angle_gamma 90.00
loop_
_atom_site_label
_atom_site_fract_x
_atom_site_fract_y
_atom_site_fract_z
Rb1 0.000 0.192 0.250
Ag1 0.000 0.000 0.000
Ag2 0.000 0.287 0.569
Ag3 0.000 0.446 0.143
Br1 0.000 0.075 0.105
Br2 0.000 0.188 0.661
Br3 0.000 0.363 0.031
Br4 0.000 0.496 0.750
# formation energy (no corrections): -0.519 eV/atom
# magnetic moment: 0.00 μB per atom
# N(E_F): 0.7453 states/eV/atom
# energy relative to the lowest polymorph listed for this composition: 0.000 eV per atom
# density: 5.4 Mg/m³

# 5
# Ac7PtI12 PBE relaxed
data_Ac7PtI12
_symmetry_space_group_name_H-M 'R -3'
_symmetry_Int_Tables_number 148
_symmetry_space_group_name_Hall '-R 3'
_cell_length_a 17.0420
_cell_length_b 17.0420
_cell_length_c 11.5361
_cell_angle_alpha 90.00
_cell_angle_beta 90.00
_cell_angle_gamma 120.00
loop_
_atom_site_label
_atom_site_fract_x
_atom_site_fract_y
_atom_site_fract_z
Ac1 0.0000 0.0000 0.0000
Ac2 0.0405 0.8807 0.3497
Pt1 0.0000 0.0000 0.5000
I1 0.0214 0.4366 0.1578
I2 0.0475 0.8646 0.8445
# formation energy (no corrections): -1.374 eV/atom
# magnetic moment: 0.04 μB per atom
# N(E_F): 0.2609 states/eV/atom
# density: 5.7 Mg/m³

# 6
# CeGdMg PBE relaxed
data_CeGdMg
_symmetry_space_group_name_H-M 'P -6 m 2'
_symmetry_Int_Tables_number 187
_symmetry_space_group_name_Hall 'P -6 2'
_cell_length_a 5.4965
_cell_length_b 5.4965
_cell_length_c 3.1088
_cell_angle_alpha 90.00
_cell_angle_beta 90.00
_cell_angle_gamma 120.00
loop_
_atom_site_label
_atom_site_fract_x
_atom_site_fract_y
_atom_site_fract_z
Ce1 0.0000 0.0000 0.0000
Gd1 0.3333 0.6667 0.0000
Mg1 0.6667 0.3333 0.5000
# calculated formation energy: 0.118 eV/atom
# magnetic moment: 2.14 μB per atom
# N(E_F): 2.2245 states/eV/atom
# energy relative to the lowest polymorph listed for this composition: 0.076 eV per atom
# density: 6.6 Mg/m³

# 7
# PrNd2Tm PBE relaxed
data_PrNd2Tm
_symmetry_space_group_name_H-M 'F m -3 m'
_symmetry_Int_Tables_number 225
_symmetry_space_group_name_Hall '-F 4 2 3'
_cell_length_a 8.193
_cell_length_b 8.193
_cell_length_c 8.193
_cell_angle_alpha 90.00
_cell_angle_beta 90.00
_cell_angle_gamma 90.00
loop_
_atom_site_label
_atom_site_fract_x
_atom_site_fract_y
_atom_site_fract_z
Pr1 0.000 0.000 0.000
Nd1 0.250 0.250 0.250
Tm1 0.000 0.000 0.500
# calculated formation energy: 0.135 eV/atom
# magnetic moment: 0.00 μB per atom
# N(E_F): 2.5223 states/eV/atom
# energy relative to the lowest polymorph listed for this composition: 0.121 eV per atom
# density: 7.2 Mg/m³

# 8
# RePbW2 PBE relaxed
data_RePbW2
_symmetry_space_group_name_H-M 'I -4 2 d'
_symmetry_Int_Tables_number 122
_symmetry_space_group_name_Hall 'I -4 2bw'
_cell_length_a 4.060
_cell_length_b 4.060
_cell_length_c 19.053
_cell_angle_alpha 90.00
_cell_angle_beta 90.00
_cell_angle_gamma 90.00
loop_
_atom_site_label
_atom_site_fract_x
_atom_site_fract_y
_atom_site_fract_z
Re1 0.000 0.000 0.000
Pb1 0.000 0.000 0.500
W1 0.201 0.250 0.125
# calculated formation energy: 1.398 eV/atom
# magnetic moment: 0.00 μB per atom
# N(E_F): 0.8702 states/eV/atom
# density: 16.1 Mg/m³

# 9
# Ga2Sn3N4 PBE relaxed
data_Ga2Sn3N4
_symmetry_space_group_name_H-M 'C 1 2/c 1'
_symmetry_Int_Tables_number 15
_symmetry_space_group_name_Hall '-C 2yc'
_cell_length_a 13.334
_cell_length_b 8.917
_cell_length_c 5.630
_cell_angle_alpha 90.00
_cell_angle_beta 104.83
_cell_angle_gamma 90.00
loop_
_atom_site_label
_atom_site_fract_x
_atom_site_fract_y
_atom_site_fract_z
Ga1 0.230 0.101 0.417
Sn1 0.000 0.372 0.250
Sn2 0.125 0.267 0.870
N1 0.141 0.260 0.493
N2 0.232 0.091 0.068
# formation energy (no corrections): 0.011 eV/atom
# magnetic moment: 0.00 μB per atom
# N(E_F): 0.0003 states/eV/atom
# density: 5.7 Mg/m³

# 10
# Ca2AcPb3 PBE relaxed
data_Ca2AcPb3
_symmetry_space_group_name_H-M 'P 1 2/m 1'
_symmetry_Int_Tables_number 10
_symmetry_space_group_name_Hall '-P 2y'
_cell_length_a 5.241
_cell_length_b 9.302
_cell_length_c 8.336
_cell_angle_alpha 90.00
_cell_angle_beta 108.28
_cell_angle_gamma 90.00
loop_
_atom_site_label
_atom_site_fract_x
_atom_site_fract_y
_atom_site_fract_z
Ca1 0.000 0.000 0.000
Ca2 0.000 0.500 0.000
Ca3 0.333 0.000 0.667
Ac1 0.337 0.500 0.675
Pb1 0.166 0.241 0.329
Pb2 0.500 0.242 0.000
# calculated formation energy: -0.503 eV/atom
# magnetic moment: 0.00 μB per atom
# N(E_F): 0.5088 states/eV/atom
# energy relative to the lowest polymorph listed for this composition: 0.000 eV per atom
# density: 8.0 Mg/m³

# 11
# CePm3O6 PBE relaxed
data_CePm3O6
_symmetry_space_group_name_H-M 'P 1 21/c 1'
_symmetry_Int_Tables_number 14
_symmetry_space_group_name_Hall '-P 2ybc'
_cell_length_a 6.014
_cell_length_b 6.197
_cell_length_c 10.532
_cell_angle_alpha 90.00
_cell_angle_beta 124.18
_cell_angle_gamma 90.00
loop_
_atom_site_label
_atom_site_fract_x
_atom_site_fract_y
_atom_site_fract_z
Ce1 0.000 0.000 0.000
Pm1 0.277 0.046 0.770
Pm2 0.500 0.000 0.500
O1 0.099 0.088 0.249
O2 0.293 0.690 0.102
O3 0.384 0.166 0.047
# formation energy (no corrections): -3.275 eV/atom
# magnetic moment: 0.10 μB per atom
# N(E_F): 0.3699 states/eV/atom
# energy relative to the lowest polymorph listed for this composition: 0.089 eV per atom
# density: 6.9 Mg/m³

# 12
# TbSc2Cr PBE relaxed
data_TbSc2Cr
_symmetry_space_group_name_H-M 'P 4/m m m'
_symmetry_Int_Tables_number 123
_symmetry_space_group_name_Hall '-P 4 2'
_cell_length_a 3.334
_cell_length_b 3.334
_cell_length_c 8.264
_cell_angle_alpha 90.00
_cell_angle_beta 90.00
_cell_angle_gamma 90.00
loop_
_atom_site_label
_atom_site_fract_x
_atom_site_fract_y
_atom_site_fract_z
Tb1 0.000 0.000 0.000
Sc1 0.500 0.500 0.306
Cr1 0.000 0.000 0.500
# calculated formation energy: 0.183 eV/atom
# magnetic moment: 0.64 μB per atom
# N(E_F): 1.5310 states/eV/atom
# density: 5.4 Mg/m³

# 13
# Rb2SIO6 PBE relaxed
data_Rb2SIO6
_symmetry_space_group_name_H-M 'P -1'
_symmetry_Int_Tables_number 2
_symmetry_space_group_name_Hall '-P 1'
_cell_length_a 4.998
_cell_length_b 5.276
_cell_length_c 6.762
_cell_angle_alpha 112.83
_cell_angle_beta 104.54
_cell_angle_gamma 90.05
loop_
_atom_site_label
_atom_site_fract_x
_atom_site_fract_y
_atom_site_fract_z
Rb1 0.230 0.240 0.480
S1 0.000 0.500 0.000
I1 0.500 0.000 0.000
O1 0.164 0.207 0.878
O2 0.166 0.670 0.877
O3 0.236 0.614 0.228
# formation energy (no corrections): -0.782 eV/atom
# magnetic moment: 0.11 μB per atom
# N(E_F): 0.5053 states/eV/atom
# density: 4.5 Mg/m³

# 14
# Cu2Pd8Au3 PBE relaxed
data_Cu2Pd8Au3
_symmetry_space_group_name_H-M 'P 1 2/m 1'
_symmetry_Int_Tables_number 10
_symmetry_space_group_name_Hall '-P 2y'
_cell_length_a 6.329
_cell_length_b 4.069
_cell_length_c 8.302
_cell_angle_alpha 90.00
_cell_angle_beta 103.07
_cell_angle_gamma 90.00
loop_
_atom_site_label
_atom_site_fract_x
_atom_site_fract_y
_atom_site_fract_z
Cu1 0.189 0.000 0.073
Pd1 0.051 0.000 0.343
Pd2 0.113 0.500 0.881
Pd3 0.335 0.500 0.255
Pd4 0.394 0.000 0.827
Au1 0.227 0.500 0.578
Au2 0.500 0.000 0.500
# calculated formation energy: 0.014 eV/atom
# magnetic moment: 0.00 μB per atom
# N(E_F): 1.6216 states/eV/atom
# energy relative to the lowest polymorph listed for this composition: 0.000 eV per atom
# density: 12.5 Mg/m³

# 15
# Be2Tl5Pd12 PBE relaxed
data_Be2Tl5Pd12
_symmetry_space_group_name_H-M 'C 1 2/m 1'
_symmetry_Int_Tables_number 12
_symmetry_space_group_name_Hall '-C 2y'
_cell_length_a 14.097
_cell_length_b 5.735
_cell_length_c 8.919
_cell_angle_alpha 90.00
_cell_angle_beta 100.95
_cell_angle_gamma 90.00
loop_
_atom_site_label
_atom_site_fract_x
_atom_site_fract_y
_atom_site_fract_z
Be1 0.000 0.203 0.000
Tl1 0.000 0.500 0.500
Tl2 0.172 0.000 0.682
Tl3 0.218 0.000 0.198
Pd1 0.014 0.000 0.223
Pd2 0.037 0.500 0.172
Pd3 0.146 0.260 0.938
Pd4 0.156 0.261 0.417
# calculated formation energy: -0.136 eV/atom
# magnetic moment: 0.00 μB per atom
# N(E_F): 0.3823 states/eV/atom
# density: 10.9 Mg/m³

# 16
# BiIrOsPd PBE relaxed
data_BiIrOsPd
_symmetry_space_group_name_H-M 'C 1 m 1'
_symmetry_Int_Tables_number 8
_symmetry_space_group_name_Hall 'C -2y'
_cell_length_a 10.652
_cell_length_b 2.970
_cell_length_c 4.852
_cell_angle_alpha 90.00
_cell_angle_beta 115.15
_cell_angle_gamma 90.00
loop_
_atom_site_label
_atom_site_fract_x
_atom_site_fract_y
_atom_site_fract_z
Bi1 0.000 0.000 0.000
Ir1 0.279 0.500 0.426
Os1 0.256 0.000 0.941
Pd1 0.032 0.500 0.512
# calculated formation energy: 0.558 eV/atom
# magnetic moment: 0.00 μB per atom
# N(E_F): 1.2369 states/eV/atom
# energy relative to the lowest polymorph listed for this composition: 0.175 eV per atom
# density: 16.7 Mg/m³

# 17
# Cd2AsPb2 PBE relaxed
data_Cd2AsPb2
_symmetry_space_group_name_H-M 'P 4/m b m'
_symmetry_Int_Tables_number 127
_symmetry_space_group_name_Hall '-P 4 2ab'
_cell_length_a 7.314
_cell_length_b 7.314
_cell_length_c 5.084
_cell_angle_alpha 90.00
_cell_angle_beta 90.00
_cell_angle_gamma 90.00
loop_
_atom_site_label
_atom_site_fract_x
_atom_site_fract_y
_atom_site_fract_z
Cd1 0.139 0.361 0.000
As1 0.000 0.000 0.000
Pb1 0.170 0.670 0.500
# calculated formation energy: 0.101 eV/atom
# magnetic moment: 0.00 μB per atom
# N(E_F): 0.4521 states/eV/atom
# energy relative to the lowest polymorph listed for this composition: 0.000 eV per atom
# density: 8.7 Mg/m³

# 18
# TbErPd4 PBE relaxed
data_TbErPd4
_symmetry_space_group_name_H-M 'C m m m'
_symmetry_Int_Tables_number 65
_symmetry_space_group_name_Hall '-C 2 2'
_cell_length_a 4.107
_cell_length_b 30.538
_cell_length_c 3.920
_cell_angle_alpha 90.00
_cell_angle_beta 90.00
_cell_angle_gamma 90.00
loop_
_atom_site_label
_atom_site_fract_x
_atom_site_fract_y
_atom_site_fract_z
Tb1 0.000 0.201 0.000
Er1 0.000 0.432 0.500
Pd1 0.000 0.000 0.500
Pd2 0.000 0.133 0.500
Pd3 0.000 0.285 0.500
Pd4 0.000 0.364 0.000
Pd5 0.000 0.500 0.000
# calculated formation energy: -0.720 eV/atom
# magnetic moment: 0.00 μB per atom
# N(E_F): 0.4313 states/eV/atom
# energy relative to the lowest polymorph listed for this composition: 0.093 eV per atom
# density: 10.2 Mg/m³

# 19
# Ho2ErCo PBE relaxed
data_Ho2ErCo
_symmetry_space_group_name_H-M 'P n m a'
_symmetry_Int_Tables_number 62
_symmetry_space_group_name_Hall '-P 2ac 2n'
_cell_length_a 6.911
_cell_length_b 9.339
_cell_length_c 6.181
_cell_angle_alpha 90.00
_cell_angle_beta 90.00
_cell_angle_gamma 90.00
loop_
_atom_site_label
_atom_site_fract_x
_atom_site_fract_y
_atom_site_fract_z
Ho1 0.176 0.068 0.177
Er1 0.043 0.250 0.642
Co1 0.113 0.750 0.954
# calculated formation energy: -0.179 eV/atom
# magnetic moment: 0.00 μB per atom
# N(E_F): 1.1683 states/eV/atom
# energy relative to the lowest polymorph listed for this composition: 0.000 eV per atom
# density: 9.3 Mg/m³

# 20
# CdCoCl2 PBE relaxed
data_CdCoCl2
_symmetry_space_group_name_H-M 'P m m m'
_symmetry_Int_Tables_number 47
_symmetry_space_group_name_Hall '-P 2 2'
_cell_length_a 3.441
_cell_length_b 4.025
_cell_length_c 6.055
_cell_angle_alpha 90.00
_cell_angle_beta 90.00
_cell_angle_gamma 90.00
loop_
_atom_site_label
_atom_site_fract_x
_atom_site_fract_y
_atom_site_fract_z
Cd1 0.000 0.000 0.000
Co1 0.500 0.000 0.500
Cl1 0.000 0.500 0.500
Cl2 0.500 0.500 0.000
# formation energy (no corrections): 0.140 eV/atom
# magnetic moment: 0.42 μB per atom
# N(E_F): 1.2010 states/eV/atom
# energy relative to the lowest polymorph listed for this composition: 0.496 eV per atom
# density: 4.8 Mg/m³